1.
Below is AlHgBAs2 after structural relaxation, with properties calculated at the GGA-PBEsol level.

Geometry as POSCAR:
```
AlHgBAs2
1.0
-0.516 4.143 0.289
-3.617 -0.635 2.649
2.667 0.077 3.659
As B Hg Al
2 1 1 1
direct
0.000 0.000 0.500 As
0.000 0.500 0.000 As
0.000 0.000 0.000 B
0.500 0.500 0.500 Hg
0.500 0.000 0.000 Al
```

Summary:
SG: No. 123
Raw total energy, eV/atom: -3.85
Crystal system: tetragonal
ΔE_f, meV/atom: 532


2.
Below is BaAl2As after structural relaxation, with properties calculated at the GGA-PBEsol level.

Geometry as POSCAR:
```
BaAl2As
1.0
-0.793 -1.536 -3.164
1.990 -2.870 0.895
-5.920 -3.164 3.019
As Ba Al
1 1 2
direct
0.500 0.500 0.000 As
0.500 0.500 0.500 Ba
0.000 0.000 0.825 Al
0.000 0.000 0.175 Al
```

Summary:
SG: No. 123
Raw total energy, eV/atom: -4.04
Crystal system: tetragonal
ΔE_f, meV/atom: -181


3.
Below is BaAl2As after structural relaxation, with properties calculated at the GGA-PBEsol level.

Geometry as POSCAR:
```
BaAl2As
1.0
4.064 0.000 0.000
-2.032 4.326 -0.012
0.000 -1.787 5.861
As Ba Al
1 1 2
direct
0.513 0.027 0.608 As
0.749 0.498 0.243 Ba
0.979 0.958 0.876 Al
0.259 0.517 0.772 Al
```

Summary:
SG: No. 8
Raw total energy, eV/atom: -4.21
Crystal system: monoclinic
ΔE_f, meV/atom: -353


4.
Below is BaAl2As after structural relaxation, with properties calculated at the GGA-PBEsol level.

Geometry as POSCAR:
```
BaAl2As
1.0
4.544 0.000 0.000
2.272 3.935 0.000
2.272 1.312 5.918
As Ba Al
1 1 2
direct
0.500 0.500 0.500 As
0.000 0.000 0.000 Ba
0.207 0.207 0.380 Al
0.793 0.793 0.620 Al
```

Summary:
SG: No. 166
Raw total energy, eV/atom: -4.05
Crystal system: trigonal
ΔE_f, meV/atom: -187


5.
Below is BaAl2As after structural relaxation, with properties calculated at the GGA-PBEsol level.

Geometry as POSCAR:
```
BaAl2As
1.0
-0.331 -1.779 4.168
-1.756 -3.942 -1.822
5.214 -1.127 -0.067
As Ba Al
1 1 2
direct
0.500 0.000 0.500 As
0.500 0.500 0.000 Ba
0.000 0.222 0.374 Al
0.000 0.778 0.626 Al
```

Summary:
SG: No. 10
Raw total energy, eV/atom: -4.11
Crystal system: monoclinic
ΔE_f, meV/atom: -247


6.
Below is BaAl2As after structural relaxation, with properties calculated at the GGA-PBEsol level.

Geometry as POSCAR:
```
BaAl2As
1.0
4.393 0.000 0.000
0.000 4.393 0.000
-2.197 -2.197 5.194
As Ba Al
1 1 2
direct
0.500 0.500 0.000 As
0.000 0.000 0.000 Ba
0.750 0.250 0.500 Al
0.250 0.750 0.500 Al
```

Summary:
SG: No. 139
Raw total energy, eV/atom: -3.85
Crystal system: tetragonal
ΔE_f, meV/atom: 14


7.
Below is BaAl2As after structural relaxation, with properties calculated at the GGA-PBEsol level.

Geometry as POSCAR:
```
BaAl2As
1.0
3.302 0.025 0.000
0.028 5.360 0.000
-1.665 -2.692 5.656
As Ba Al
1 1 2
direct
0.000 0.500 0.000 As
0.500 0.000 0.000 Ba
0.000 0.500 0.500 Al
0.500 0.000 0.500 Al
```

Summary:
SG: No. 12
Raw total energy, eV/atom: -3.77
Crystal system: monoclinic
ΔE_f, meV/atom: 90


8.
Below is BaAl2As after structural relaxation, with properties calculated at the GGA-PBEsol level.

Geometry as POSCAR:
```
BaAl2As
1.0
-2.897 2.445 0.917
-2.328 -3.298 1.438
5.056 1.185 4.517
As Ba Al
1 1 2
direct
0.519 0.519 0.039 As
0.800 0.300 0.600 Ba
0.023 0.023 0.046 Al
0.157 0.657 0.315 Al
```

Summary:
SG: No. 44
Raw total energy, eV/atom: -4.09
Crystal system: orthorhombic
ΔE_f, meV/atom: -231